Below is PmAg2GeS4 after structural relaxation, with properties calculated at the GGA-PBE level.

- ΔE_f (raw): -63 kJ/mol of atoms
- ρ: 5.57 Mg/m³

```
16
Lattice="-3.929 3.031 6.047 5.683 -2.498 4.761 1.704 4.459 -6.429" Properties=species:S:1:pos:R:3 pbc="T T T"
S 0.453 0.214 2.600
Ag -1.964 1.516 3.024
S -0.566 3.770 2.464
S 4.024 1.223 1.915
Ge 1.729 2.496 2.189
Ag -1.112 3.745 -0.191
S 3.006 4.779 1.779
S 3.434 -1.157 5.095
Ag 2.581 4.726 -1.025
Pm 3.694 0.981 -0.834
Pm 2.841 -1.249 2.380
S 1.249 2.298 -0.407
S 2.209 2.695 4.786
Ag -3.076 5.261 2.833
Ge 3.458 4.993 4.379
S 0.024 6.150 -0.716
```

***

Below is PmAgGe2S6 after structural relaxation, with properties calculated at the GGA-PBE level.

- ΔE_f (raw): -64 kJ/mol of atoms
- ρ: 4.02 Mg/m³

```
20
Lattice="6.782 0.025 0.026 2.201 8.492 0.320 2.201 0.005 8.498" Properties=species:S:1:pos:R:3 pbc="T T T"
Ge 4.870 6.559 5.590
S 6.243 0.492 1.564
S 2.779 5.905 4.985
Pm 7.287 1.185 7.398
S 4.941 8.029 7.279
S 8.332 6.989 8.306
S 8.405 2.617 3.858
S 5.516 7.532 3.695
S 5.014 3.746 2.745
Pm 3.896 7.336 1.446
S 2.277 5.096 1.166
S 8.907 3.426 7.677
Ge 8.261 5.356 6.774
Ag 3.896 2.112 6.480
S 6.170 4.775 6.098
S 5.668 0.989 5.148
Ag 7.287 6.410 2.363
S 2.852 1.532 0.537
Ge 2.923 3.165 2.069
Ge 6.314 1.962 3.253
```

***

Below is PmScAgGe after structural relaxation, with properties calculated at the GGA-PBE level.

- Calculated formation energy: -484.8 meV per atom
- ρ: 6.87 Mg/m³

```
4
Lattice="5.021 0.000 0.000 2.510 4.348 0.000 2.510 1.449 4.100" Properties=species:S:1:pos:R:3 pbc="T T T"
Ge 7.531 4.348 3.075
Ag 2.510 1.449 1.025
Pm 0.000 0.000 0.000
Sc 5.021 2.899 2.050
```

***

Below is PmSm2Ag2Ge2 after structural relaxation, with properties calculated at the GGA-PBE level.

- Calculated formation energy: -428.6 meV per atom
- ρ: 7.87 Mg/m³

```
7
Lattice="-0.533 2.871 -3.540 -0.255 -1.651 -4.274 -9.529 -0.297 -1.781" Properties=species:S:1:pos:R:3 pbc="T T T"
Ag -2.352 0.675 -5.047
Ge -2.290 0.253 -2.425
Sm -4.327 0.951 -7.500
Ge -8.026 0.670 -7.171
Ag -7.964 0.248 -4.548
Sm -5.989 -0.028 -2.096
Pm 0.000 0.000 0.000
```

***

Below is PmSmAgGe after structural relaxation, with properties calculated at the GGA-PBE level.

- Calculated formation energy: -523.3 meV per atom
- ρ: 7.94 Mg/m³

```
4
Lattice="5.201 0.000 0.000 2.601 4.504 0.000 2.601 1.501 4.247" Properties=species:S:1:pos:R:3 pbc="T T T"
Ge 5.201 3.003 2.123
Sm 7.802 4.504 3.185
Pm 2.601 1.501 1.062
Ag 0.000 0.000 0.000
```

***

Below is TbPmAgGe after structural relaxation, with properties calculated at the GGA-PBE level.

- Calculated formation energy: -525.2 meV per atom
- ρ: 8.29 Mg/m³

```
4
Lattice="-3.470 -3.788 -0.474 1.095 -4.733 1.735 -2.403 -1.835 4.180" Properties=species:S:1:pos:R:3 pbc="T T T"
Ag -1.194 -2.589 1.360
Tb -2.389 -5.178 2.720
Ge -3.583 -7.767 4.081
Pm 0.000 0.000 0.000
```

***

Below is Pm2AgGe3Te6 after structural relaxation, with properties calculated at the GGA-PBE level.

- ΔE_f (raw): -49 kJ/mol of atoms
- ρ: 6.52 Mg/m³

```
12
Lattice="4.326 0.000 0.000 0.000 8.746 0.109 -2.163 -2.736 9.267" Properties=species:S:1:pos:R:3 pbc="T T T"
Te 0.000 6.334 6.134
Ge 0.000 6.444 3.167
Ge 2.163 -0.435 6.210
Te 2.163 4.277 3.108
Te 2.163 -0.554 9.227
Te 2.163 -0.325 3.242
Pm 2.163 4.045 6.333
Ag 2.163 0.000 0.000
Te 0.000 6.563 0.150
Ge 2.163 4.373 0.055
Pm 0.000 1.965 3.044
Te 0.000 1.733 6.269
```

***

Below is Pm2Ag3GeTe6 after structural relaxation, with properties calculated at the GGA-PBE level.

- ΔE_f (raw): -54 kJ/mol of atoms
- ρ: 6.82 Mg/m³

```
12
Lattice="4.312 0.000 0.000 0.000 8.259 0.358 -2.156 -2.412 9.824" Properties=species:S:1:pos:R:3 pbc="T T T"
Te 0.000 6.292 7.194
Te 2.156 -0.444 2.987
Ag 0.000 5.827 4.359
Te 2.156 4.046 3.479
Te 2.156 3.720 9.867
Pm 2.156 4.098 6.654
Ge 2.156 0.000 0.000
Ag 2.156 4.130 0.179
Te 0.000 2.128 0.314
Pm 0.000 1.749 3.527
Ag 2.156 0.020 5.822
Te 0.000 1.802 6.702
```

***

Below is Pm8AgGe3Te4 after structural relaxation, with properties calculated at the GGA-PBE level.

- ΔE_f (raw): -106 kJ/mol of atoms
- ρ: 6.93 Mg/m³

```
16
Lattice="8.726 0.000 0.000 0.000 8.834 0.070 -4.363 -4.359 6.174" Properties=species:S:1:pos:R:3 pbc="T T T"
Pm 4.363 4.288 3.027
Ge 4.363 4.417 0.035
Te 4.363 0.000 0.000
Pm 2.103 2.182 6.110
Te 0.000 0.000 0.000
Pm -2.103 2.182 6.110
Te -2.182 -2.179 3.087
Te 2.182 -2.179 3.087
Pm 6.466 2.294 0.133
Pm 4.363 0.193 3.108
Ge 2.182 2.238 3.122
Pm 0.000 4.283 3.135
Pm 0.000 0.188 3.217
Pm 2.261 2.294 0.133
Ag 0.000 4.417 0.035
Ge -2.182 2.238 3.122
```

***

Below is PmTiAgGe after structural relaxation, with properties calculated at the GGA-PBE level.

- Calculated formation energy: -248.2 meV per atom
- ρ: 7.31 Mg/m³

```
4
Lattice="-1.759 0.544 -4.576 2.887 -0.959 -3.882 -0.867 -3.969 -2.797" Properties=species:S:1:pos:R:3 pbc="T T T"
Ge 0.195 -3.288 -8.441
Ti 0.000 0.000 0.000
Ag 0.065 -1.096 -2.814
Pm 0.130 -2.192 -5.628
```

***

Q: The highest ρ belongs to which entry?
A: TbPmAgGe